Density functional theory data (GGA-PBE) for a relaxed Tm4InRh crystal.

Cell and atoms, written as POSCAR:
```
Tm4InRh
1.0
0.000 6.733 6.733
6.733 0.000 6.733
6.733 6.733 0.000
Tm In Rh
16 4 4
Cartesian
3.366 3.366 0.805
3.366 0.805 3.366
5.928 3.366 3.366
6.733 6.733 2.533
6.733 2.533 6.733
10.933 6.733 6.733
8.077 5.388 5.388
0.805 3.366 3.366
3.366 5.928 3.366
3.366 3.366 5.928
5.388 8.077 5.388
5.388 5.388 8.077
8.077 8.077 8.077
2.533 6.733 6.733
6.733 10.933 6.733
6.733 6.733 10.933
11.223 8.975 8.975
8.975 11.223 8.975
8.975 8.975 11.223
11.223 11.223 11.223
5.281 5.281 5.281
8.184 8.184 5.281
8.184 5.281 8.184
5.281 8.184 8.184
```

Results
Volume ... 25.43 A^3/atom
DFT formation energy ... -0.58 eV per atom
Mass density ... 9.7 g/cm³
ΔE to the lowest computed polymorph ... 0 meV/atom